The following is a PBE-GGA calculation of an optimized crystal structure of LiBi3, from the Alexandria database.

Structure (POSCAR):
```
LiBi3
1.0
3.385 0.000 0.000
0.000 3.339 0.000
0.000 0.000 10.292
Bi Li
3 1
Direct
0.500 0.500 0.168
0.000 0.500 0.453
0.500 0.000 0.735
0.000 0.000 0.977
```

Results
mass density	9.05	g/cm³
energy	-3.44	eV per atom